# 1
PmSc2Au3 after structural relaxation. Source: Alexandria via LeMat-Bulk, functional PBE-GGA.

ΔH_f (0 K)	-4.8	eV/f.u.
crystal system	tetragonal
DOS(E_F)	2.8	states/eV per cell
space-group type	P4/mmm (123)

Cell lengths 3.4677, 3.4677, 10.6560 Å; angles 90.00, 90.00, 90.00 degrees
Closest atoms and distances in Å follow each position.
Sites, in units of the cell vectors:
Pm: 0.5000 0.5000 0.5000  8 Au 3.23, 4 Pm 3.47
Sc: 0.5000 0.5000 0.8419  8 Au 2.89-2.98
Sc: 0.5000 0.5000 0.1581  8 Au 2.89-2.98
Au: 0.0000 0.0000 0.0000  8 Sc 2.98, 2 Au 3.22
Au: 0.0000 0.0000 0.6977  4 Sc 2.89, 1 Au 3.22, 4 Pm 3.23
Au: 0.0000 0.0000 0.3023  4 Sc 2.89, 1 Au 3.22, 4 Pm 3.23

***

# 2
PmScAu after structural relaxation. Source: Alexandria via LeMat-Bulk, functional PBE-GGA.

ΔH_f (0 K)	-1.1	eV/f.u.
crystal system	cubic
offset from the most stable computed form	5.46	kcal/mol of atoms
DOS(E_F)	4.3	states/eV per cell
space-group type	F-43m (216)

Cell lengths 4.9069, 4.9069, 4.9069 Å; angles 60.00, 60.00, 60.00 degrees
Closest atoms and distances in Å follow each position.
Sites, in units of the cell vectors:
Sc: 0.0000 0.0000 0.0000  4 Au 3.00
Au: 0.2500 0.2500 0.2500  4 Sc 3.00, 4 Pm 3.00
Pm: 0.5000 0.5000 0.5000  4 Au 3.00

***

# 3
Pm2ScAu after structural relaxation. Source: Alexandria via LeMat-Bulk, functional PBE-GGA.

ΔH_f (0 K)	-0.8	eV/f.u.
crystal system	trigonal
offset from the most stable computed form	3.23	kcal/mol of atoms
DOS(E_F)	5.2	states/eV per cell
space-group type	R3m (160)

Cell lengths 3.6436, 3.6436, 10.1871 Å; angles 79.70, 79.70, 60.00 degrees
Closest atoms and distances in Å follow each position.
Sites, in units of the cell vectors:
Pm: 0.0760 0.0760 0.7719  3 Au 3.09, 3 Sc 3.42
Pm: 0.2575 0.2575 0.2275  3 Au 3.10, 3 Sc 3.45
Sc: 0.4994 0.4994 0.5018  6 Pm 3.42-3.45, 6 Sc 3.64
Au: 0.6671 0.6671 0.9988  6 Pm 3.09-3.10

***

# 4
Pm3Sc2Au3 after structural relaxation. Source: Alexandria via LeMat-Bulk, functional PBE-GGA.

ΔH_f (0 K)	-4.7	eV/f.u.
crystal system	orthorhombic
DOS(E_F)	8.0	states/eV per cell
space-group type	Immm (71)

Cell lengths 3.6316, 5.1422, 11.1837 Å; angles 103.29, 99.34, 90.00 degrees
Closest atoms and distances in Å follow each position.
Sites, in units of the cell vectors:
Pm: 0.3779 0.3779 0.7558  6 Au 3.16-3.19, 2 Sc 3.52
Pm: 0.6221 0.6221 0.2442  6 Au 3.16-3.19, 2 Sc 3.52
Pm: 0.5000 0.0000 0.0000  8 Au 3.15-3.40
Sc: 0.2656 0.7656 0.5312  2 Au 2.82
Sc: 0.7344 0.2344 0.4688  2 Au 2.82
Au: 0.8663 0.8663 0.7326  2 Sc 2.82, 4 Pm 3.16
Au: 0.0000 0.5000 0.0000  8 Pm 3.15-3.19
Au: 0.1337 0.1337 0.2674  2 Sc 2.82, 4 Pm 3.16

***

# 5
Pm3ScAu4 after structural relaxation. Source: Alexandria via LeMat-Bulk, functional PBE-GGA.

ΔH_f (0 K)	-6.2	eV/f.u.
crystal system	tetragonal
DOS(E_F)	4.9	states/eV per cell
space-group type	P4/mmm (123)

Cell lengths 3.5999, 3.5999, 14.6390 Å; angles 90.00, 90.00, 90.00 degrees
Closest atoms and distances in Å follow each position.
Sites, in units of the cell vectors:
Sc: 0.5000 0.5000 0.0000  8 Au 2.97
Au: 0.0000 0.0000 0.8954  4 Sc 2.97, 1 Au 3.06, 4 Pm 3.24
Au: 0.0000 0.0000 0.1046  4 Sc 2.97, 1 Au 3.06, 4 Pm 3.24
Au: 0.0000 0.0000 0.3716  8 Pm 3.16-3.18
Au: 0.0000 0.0000 0.6284  8 Pm 3.16-3.18
Pm: 0.5000 0.5000 0.2410  8 Au 3.18-3.24, 1 Sc 3.53
Pm: 0.5000 0.5000 0.5000  8 Au 3.16
Pm: 0.5000 0.5000 0.7590  8 Au 3.18-3.24, 1 Sc 3.53

***

# 6
PmScAu after structural relaxation. Source: Alexandria via LeMat-Bulk, functional PBE-GGA.

ΔH_f (0 K)	-1.3	eV/f.u.
crystal system	trigonal
offset from the most stable computed form	3.84	kcal/mol of atoms
DOS(E_F)	3.0	states/eV per cell
space-group type	P3m1 (156)

Cell lengths 3.9208, 4.7559, 4.7559 Å; angles 120.00, 90.00, 90.00 degrees
Closest atoms and distances in Å follow each position.
Sites, in units of the cell vectors:
Sc: 0.1836 0.3333 0.6667  3 Au 2.75
Au: 0.1370 0.0000 0.0000  3 Sc 2.75
Pm: 0.6794 0.6667 0.3333  6 Au 3.28-3.47, 6 Sc 3.36-3.38

***

# 7
PmSc5Au6 after structural relaxation. Source: Alexandria via LeMat-Bulk, functional PBE-GGA.

ΔH_f (0 K)	-9.4	eV/f.u.
crystal system	monoclinic
DOS(E_F)	8.4	states/eV per cell
space-group type	C2/m (12)

Cell lengths 4.8798, 6.9175, 8.4735 Å; angles 114.09, 106.66, 90.00 degrees
Closest atoms and distances in Å follow each position.
Sites, in units of the cell vectors:
Sc: 0.6650 0.1649 0.3299  8 Au 2.87-3.08
Sc: 0.3318 0.3313 0.6626  8 Au 2.93-2.94
Sc: 0.0000 0.5000 0.0000  8 Au 2.89-3.04
Sc: 0.6682 0.6687 0.3374  8 Au 2.93-2.94
Sc: 0.3350 0.8351 0.6701  8 Au 2.87-3.08
Au: 0.8259 0.5623 0.6509  7 Sc 2.87-3.05, 1 Pm 3.14
Au: 0.8260 0.0886 0.6509  7 Sc 2.87-3.05, 1 Pm 3.14
Au: 0.5000 0.7250 0.0000  6 Sc 2.89-3.08, 2 Pm 3.09, 1 Au 3.11
Au: 0.5000 0.2750 0.0000  6 Sc 2.89-3.08, 2 Pm 3.09, 1 Au 3.11
Au: 0.1740 0.9114 0.3491  7 Sc 2.87-3.05, 1 Pm 3.14
Au: 0.1741 0.4377 0.3491  7 Sc 2.87-3.05, 1 Pm 3.14
Pm: 0.0000 0.0000 0.0000  8 Au 3.09-3.14, 6 Sc 3.44-3.46

***

# 8
Pm2ScAu2 after structural relaxation. Source: Alexandria via LeMat-Bulk, functional PBE-GGA.

ΔH_f (0 K)	-2.6	eV/f.u.
crystal system	orthorhombic
offset from the most stable computed form	2.68	kcal/mol of atoms
DOS(E_F)	13.8	states/eV per cell
space-group type	Ibam (72)

Cell lengths 6.1655, 7.8955, 7.5983 Å; angles 121.30, 113.94, 90.00 degrees
Closest atoms and distances in Å follow each position.
Sites, in units of the cell vectors:
Pm: 0.8427 0.6984 0.6854  5 Au 2.94-3.23
Pm: 0.1573 0.3016 0.3146  5 Au 2.94-3.23
Pm: 0.6573 0.0130 0.3146  5 Au 2.94-3.23
Pm: 0.3427 0.9870 0.6854  5 Au 2.94-3.23
Sc: 0.7500 0.5000 0.0000  4 Au 2.85, 2 Sc 3.08
Sc: 0.2500 0.5000 0.0000  4 Au 2.85, 2 Sc 3.08
Au: 0.4003 0.6678 0.8007  2 Sc 2.85, 3 Pm 2.94-3.05
Au: 0.5997 0.3322 0.1993  2 Sc 2.85, 3 Pm 2.94-3.05
Au: 0.0997 0.8671 0.1993  2 Sc 2.85, 3 Pm 2.94-3.05
Au: 0.9003 0.1329 0.8007  2 Sc 2.85, 3 Pm 2.94-3.05

***

# 9
Pm2ScAu2 after structural relaxation. Source: Alexandria via LeMat-Bulk, functional PBE-GGA.

ΔH_f (0 K)	-3.2	eV/f.u.
crystal system	monoclinic
offset from the most stable computed form	0.00	kcal/mol of atoms
DOS(E_F)	10.5	states/eV per cell
space-group type	C2/m (12)

Cell lengths 4.6357, 6.4282, 9.5151 Å; angles 83.35, 75.90, 68.86 degrees
Closest atoms and distances in Å follow each position.
Sites, in units of the cell vectors:
Pm: 0.3199 0.2643 0.0959  4 Au 3.03-3.26
Pm: 0.4705 0.3743 0.6848  6 Au 3.17-3.35, 3 Sc 3.46-3.48
Pm: 0.6801 0.7357 0.9041  4 Au 3.03-3.26
Pm: 0.5295 0.6257 0.3152  6 Au 3.17-3.35, 3 Sc 3.46-3.48
Sc: 0.7943 0.0507 0.3606  4 Au 2.76-2.81
Sc: 0.2057 0.9493 0.6394  4 Au 2.76-2.81
Au: 0.9580 0.1935 0.8905  1 Sc 2.78, 1 Au 3.03, 2 Pm 3.03
Au: 0.1405 0.2885 0.4306  3 Sc 2.76-2.81, 1 Au 2.88
Au: 0.0420 0.8065 0.1095  1 Sc 2.78, 1 Au 3.03, 2 Pm 3.03
Au: 0.8595 0.7115 0.5694  3 Sc 2.76-2.81, 1 Au 2.88

***

# 10
PmScAu after structural relaxation. Source: Alexandria via LeMat-Bulk, functional PBE-GGA.

ΔH_f (0 K)	-1.5	eV/f.u.
crystal system	tetragonal
offset from the most stable computed form	2.54	kcal/mol of atoms
DOS(E_F)	4.3	states/eV per cell
space-group type	I4mm (107)

Cell lengths 3.5210, 3.5210, 6.5421 Å; angles 105.61, 105.61, 90.00 degrees
Closest atoms and distances in Å follow each position.
Sites, in units of the cell vectors:
Sc: 0.3136 0.3136 0.6273  4 Au 2.86
Au: 0.9299 0.9299 0.8598  4 Sc 2.86
Pm: 0.6065 0.6065 0.2130  4 Au 3.28, 4 Pm 3.52, 5 Sc 3.53-3.54

***

# 11
PmSc2Au4 after structural relaxation. Source: Alexandria via LeMat-Bulk, functional PBE-GGA.

ΔH_f (0 K)	-3.8	eV/f.u.
crystal system	tetragonal
DOS(E_F)	6.9	states/eV per cell
space-group type	P4/mmm (123)

Cell lengths 4.8544, 4.8544, 6.7972 Å; angles 90.00, 90.00, 90.00 degrees
Closest atoms and distances in Å follow each position.
Sites, in units of the cell vectors:
Pm: 0.5000 0.5000 0.0000  8 Au 3.04, 2 Sc 3.40
Sc: 0.0000 0.0000 0.0000  8 Au 3.04
Sc: 0.5000 0.5000 0.5000  8 Au 2.89
Au: 0.5000 0.0000 0.2704  4 Sc 2.89-3.04, 2 Pm 3.04, 1 Au 3.12
Au: 0.0000 0.5000 0.7296  4 Sc 2.89-3.04, 2 Pm 3.04, 1 Au 3.12
Au: 0.5000 0.0000 0.7296  4 Sc 2.89-3.04, 2 Pm 3.04, 1 Au 3.12
Au: 0.0000 0.5000 0.2704  4 Sc 2.89-3.04, 2 Pm 3.04, 1 Au 3.12

***

# 12
PmSc3Au4 after structural relaxation. Source: Alexandria via LeMat-Bulk, functional PBE-GGA.

ΔH_f (0 K)	-6.2	eV/f.u.
crystal system	tetragonal
DOS(E_F)	10.1	states/eV per cell
space-group type	P4/mmm (123)

Cell lengths 4.9059, 7.0230, 9.8155 Å; angles 90.00, 90.00, 90.00 degrees
Closest atoms and distances in Å follow each position.
Sites, in units of the cell vectors:
Sc: 0.0000 0.0000 0.0000  8 Au 2.93
Sc: 0.0000 0.0000 0.5000  8 Au 2.93
Sc: 0.4994 0.0000 0.7500  8 Au 2.93
Sc: 0.5006 0.0000 0.2500  8 Au 2.93
Sc: 0.5001 0.5000 0.7500  8 Au 3.11, 4 Pm 3.47
Sc: 0.4999 0.5000 0.2500  8 Au 3.11, 4 Pm 3.47
Au: 0.5000 0.7722 0.0000  6 Sc 2.93-3.11, 2 Pm 3.11, 1 Au 3.20
Au: 0.5000 0.7722 0.5000  6 Sc 2.93-3.11, 2 Pm 3.11, 1 Au 3.20
Au: 0.5000 0.2278 0.0000  6 Sc 2.93-3.11, 2 Pm 3.11, 1 Au 3.20
Au: 0.5000 0.2278 0.5000  6 Sc 2.93-3.11, 2 Pm 3.11, 1 Au 3.20
Au: 0.9993 0.7720 0.7500  6 Sc 2.93-3.11, 2 Pm 3.11, 1 Au 3.20
Au: 0.0007 0.7720 0.2500  6 Sc 2.93-3.11, 2 Pm 3.11, 1 Au 3.20
Au: 0.0007 0.2280 0.2500  6 Sc 2.93-3.11, 2 Pm 3.11, 1 Au 3.20
Au: 0.9993 0.2280 0.7500  6 Sc 2.93-3.11, 2 Pm 3.11, 1 Au 3.20
Pm: 0.0000 0.5000 0.0000  8 Au 3.11, 4 Sc 3.47
Pm: 0.0000 0.5000 0.5000  8 Au 3.11, 4 Sc 3.47

***

# 13
Pm5Sc4Au4 after structural relaxation. Source: Alexandria via LeMat-Bulk, functional PBE-GGA.

ΔH_f (0 K)	-6.9	eV/f.u.
crystal system	tetragonal
DOS(E_F)	17.1	states/eV per cell
space-group type	I4/m (87)

Cell lengths 4.8610, 8.6657, 8.6657 Å; angles 85.49, 73.71, 73.71 degrees
Closest atoms and distances in Å follow each position.
Sites, in units of the cell vectors:
Pm: 0.6932 0.9344 0.6792  3 Au 3.04-3.17
Pm: 0.3068 0.0656 0.3208  3 Au 3.04-3.17
Pm: 0.0000 0.0000 0.0000  4 Au 3.13
Pm: 0.6276 0.6792 0.0656  3 Au 3.04-3.17
Pm: 0.3724 0.3208 0.9344  3 Au 3.04-3.17
Sc: 0.9000 0.5111 0.6889  3 Au 2.77-2.97
Sc: 0.5889 0.3111 0.5111  3 Au 2.77-2.97
Sc: 0.1000 0.4889 0.3111  3 Au 2.77-2.97
Sc: 0.4111 0.6889 0.4889  3 Au 2.77-2.97
Au: 0.7448 0.3316 0.1788  3 Sc 2.77-2.97, 1 Pm 3.04
Au: 0.2552 0.6684 0.8212  3 Sc 2.77-2.97, 1 Pm 3.04
Au: 0.9236 0.8212 0.3316  3 Sc 2.77-2.97, 1 Pm 3.04
Au: 0.0764 0.1788 0.6684  3 Sc 2.77-2.97, 1 Pm 3.04

***

# 14
Pm3ScAu2 after structural relaxation. Source: Alexandria via LeMat-Bulk, functional PBE-GGA.

ΔH_f (0 K)	-3.2	eV/f.u.
crystal system	orthorhombic
DOS(E_F)	13.3	states/eV per cell
space-group type	Pmc2_1 (26)

Cell lengths 5.0601, 6.8967, 9.2262 Å; angles 90.00, 90.00, 90.00 degrees
Closest atoms and distances in Å follow each position.
Sites, in units of the cell vectors:
Pm: 0.0000 0.4958 0.9319  3 Au 2.99-3.11
Pm: 0.0000 0.9958 0.0681  3 Au 2.99-3.11
Pm: 0.5000 0.6586 0.1727  4 Au 2.99-3.13
Pm: 0.5000 0.1586 0.8273  4 Au 2.99-3.13
Pm: 0.0000 0.3381 0.3429  4 Au 2.89-3.12
Pm: 0.0000 0.8381 0.6571  4 Au 2.89-3.12
Sc: 0.5000 0.5062 0.5703  3 Au 2.89-3.08
Sc: 0.5000 0.0062 0.4297  3 Au 2.89-3.08
Au: 0.5000 0.7258 0.8371  1 Sc 2.89, 6 Pm 2.99-3.13
Au: 0.5000 0.2258 0.1629  1 Sc 2.89, 6 Pm 2.99-3.13
Au: 0.0000 0.2756 0.6531  5 Pm 2.89-3.10, 2 Sc 3.08
Au: 0.0000 0.7756 0.3469  5 Pm 2.89-3.10, 2 Sc 3.08

***

# 15
Pm2ScAu after structural relaxation. Source: Alexandria via LeMat-Bulk, functional PBE-GGA.

ΔH_f (0 K)	-1.3	eV/f.u.
crystal system	tetragonal
offset from the most stable computed form	0.00	kcal/mol of atoms
DOS(E_F)	5.9	states/eV per cell
space-group type	P4/mmm (123)

Cell lengths 3.7567, 3.7567, 7.7184 Å; angles 90.00, 90.00, 90.00 degrees
Closest atoms and distances in Å follow each position.
Sites, in units of the cell vectors:
Sc: 0.5000 0.5000 0.5000  8 Pm 3.38, 4 Sc 3.76
Au: 0.5000 0.5000 0.0000  8 Pm 3.19
Pm: 0.0000 0.0000 0.7712  4 Au 3.19, 4 Sc 3.38, 1 Pm 3.53
Pm: 0.0000 0.0000 0.2288  4 Au 3.19, 4 Sc 3.38, 1 Pm 3.53

***

# 16
PmSc2Au2 after structural relaxation. Source: Alexandria via LeMat-Bulk, functional PBE-GGA.

ΔH_f (0 K)	-2.7	eV/f.u.
crystal system	trigonal
DOS(E_F)	5.4	states/eV per cell
space-group type	P-3m1 (164)

Cell lengths 4.8241, 4.8241, 6.2082 Å; angles 90.00, 90.00, 120.00 degrees
Closest atoms and distances in Å follow each position.
Sites, in units of the cell vectors:
Pm: 0.0000 0.0000 0.0000  6 Au 3.09
Sc: 0.3333 0.6667 0.6571  4 Au 2.73-2.89
Sc: 0.6667 0.3333 0.3429  4 Au 2.73-2.89
Au: 0.3333 0.6667 0.2169  4 Sc 2.73-2.89
Au: 0.6667 0.3333 0.7831  4 Sc 2.73-2.89

***

# 17
PmScAu after structural relaxation. Source: Alexandria via LeMat-Bulk, functional PBE-GGA.

ΔH_f (0 K)	-1.2	eV/f.u.
crystal system	trigonal
offset from the most stable computed form	4.93	kcal/mol of atoms
DOS(E_F)	7.3	states/eV per cell
space-group type	R-3m (166)

Cell lengths 4.7051, 4.7051, 9.1084 Å; angles 75.03, 75.03, 60.00 degrees
Closest atoms and distances in Å follow each position.
Sites, in units of the cell vectors:
Pm: 0.1213 0.1213 0.6361  3 Au 3.01
Pm: 0.8787 0.8787 0.3639  3 Au 3.01
Sc: 0.6305 0.6305 0.1085  4 Au 2.80-2.87
Sc: 0.3695 0.3695 0.8915  4 Au 2.80-2.87
Au: 0.7380 0.7380 0.7859  4 Sc 2.80-2.87, 3 Pm 3.01
Au: 0.2620 0.2620 0.2141  4 Sc 2.80-2.87, 3 Pm 3.01

***

# 18
PmSc4Au5 after structural relaxation. Source: Alexandria via LeMat-Bulk, functional PBE-GGA.

ΔH_f (0 K)	-8.0	eV/f.u.
crystal system	tetragonal
DOS(E_F)	5.5	states/eV per cell
space-group type	P4/mmm (123)

Cell lengths 3.4378, 3.4378, 17.5139 Å; angles 90.00, 90.00, 90.00 degrees
Closest atoms and distances in Å follow each position.
Sites, in units of the cell vectors:
Pm: 0.0000 0.0000 0.0000  8 Au 3.22, 4 Pm 3.44
Sc: 0.0000 0.0000 0.2099  8 Au 2.89-2.96
Sc: 0.0000 0.0000 0.4034  8 Au 2.96
Sc: 0.0000 0.0000 0.5966  8 Au 2.96
Sc: 0.0000 0.0000 0.7901  8 Au 2.89-2.96
Au: 0.5000 0.5000 0.1210  4 Sc 2.89, 4 Pm 3.22
Au: 0.5000 0.5000 0.3066  8 Sc 2.96, 1 Au 3.25
Au: 0.5000 0.5000 0.5000  8 Sc 2.96
Au: 0.5000 0.5000 0.6934  8 Sc 2.96, 1 Au 3.25
Au: 0.5000 0.5000 0.8790  4 Sc 2.89, 4 Pm 3.22

***

# 19
PmSmScAu after structural relaxation. Source: Alexandria via LeMat-Bulk, functional PBE-GGA.

ΔH_f (0 K)	-0.7	eV/f.u.
crystal system	cubic
DOS(E_F)	4.9	states/eV per cell
space-group type	F-43m (216)

Cell lengths 5.3013, 5.3013, 5.3013 Å; angles 60.00, 60.00, 60.00 degrees
Closest atoms and distances in Å follow each position.
Sites, in units of the cell vectors:
Sc: 0.2500 0.2500 0.2500  4 Sm 3.25, 4 Pm 3.25
Au: 0.7500 0.7500 0.7500  4 Pm 3.25, 4 Sm 3.25
Sm: 0.0000 0.0000 0.0000  4 Au 3.25, 4 Sc 3.25
Pm: 0.5000 0.5000 0.5000  4 Sc 3.25, 4 Au 3.25

***

# 20
PmScSnAu after structural relaxation. Source: Alexandria via LeMat-Bulk, functional PBE-GGA.

ΔH_f (0 K)	-2.6	eV/f.u.
crystal system	cubic
DOS(E_F)	3.9	states/eV per cell
space-group type	F-43m (216)

Cell lengths 5.1618, 5.1618, 5.1618 Å; angles 60.00, 60.00, 60.00 degrees
Closest atoms and distances in Å follow each position.
Sites, in units of the cell vectors:
Sc: 0.5000 0.5000 0.5000  4 Au 3.16, 4 Sn 3.16
Au: 0.7500 0.7500 0.7500  4 Sc 3.16, 4 Pm 3.16
Sn: 0.2500 0.2500 0.2500  4 Pm 3.16, 4 Sc 3.16
Pm: 0.0000 0.0000 0.0000  4 Sn 3.16, 4 Au 3.16

***

no.,VASP energy (eV for the cell shown)
1,-32.0
2,-15.5
3,-19.9
4,-41.5
5,-39.9
6,-15.7
7,-65.4
8,-50.0
9,-51.1
10,-15.8
11,-34.3
12,-86.0
13,-69.1
14,-60.7
15,-20.5
16,-26.7
17,-31.1
18,-54.4
19,-19.8
20,-21.0